Entry 1:
DFT (PBE) results for a relaxed Zr3AgSe crystal.

ΔE_f (raw): 0.797 eV/atom
Polymorph energy (0 for the lowest one): 754 meV/atom
Total energy: -5.5992 eV/atom
V: 27.5 A^3/atom

a b c (Å): 5.160 5.160 5.160
angles (deg): 90.00 90.00 90.00
Each line ends with the local moment (μB).
Atoms (fractional coordinates):
Se1 0.500 0.500 0.500  -0.02
Zr1 0.000 0.500 0.000  0.47
Zr2 0.000 0.000 0.500  0.46
Zr3 0.500 0.000 0.000  0.61
Ag1 0.000 0.000 0.000  0.04

Entry 2:
DFT (PBE) results for a relaxed ZrAgSe3 crystal.

ΔE_f (raw): -0.315 eV/atom
Polymorph energy (0 for the lowest one): 393 meV/atom
Total energy: -4.6860 eV/atom
V: 28.6 A^3/atom

a b c (Å): 5.230 5.230 5.230
angles (deg): 90.00 90.00 90.00
Atoms (fractional coordinates):
Se1 0.000 0.500 0.000
Se2 0.000 0.000 0.500
Se3 0.500 0.000 0.000
Zr1 0.000 0.000 0.000
Ag1 0.500 0.500 0.500

Entry 3:
DFT (PBE) results for a relaxed Zr2AgSe4 crystal.

ΔE_f (raw): -0.977 eV/atom
Polymorph energy (0 for the lowest one): 86 meV/atom
Total energy: -5.8178 eV/atom
V: 23.4 A^3/atom

a b c (Å): 3.822 6.572 13.635
angles (deg): 90.00 90.00 106.90
Atoms (fractional coordinates):
Zr1 0.134 0.267 0.433
Zr2 0.866 0.733 0.933
Zr3 0.134 0.267 0.067
Zr4 0.866 0.733 0.567
Ag1 0.605 0.210 0.750
Ag2 0.395 0.790 0.250
Se1 0.779 0.558 0.118
Se2 0.779 0.558 0.382
Se3 0.221 0.442 0.882
Se4 0.221 0.442 0.618
Se5 0.949 0.898 0.750
Se6 0.051 0.102 0.250
Se7 0.500 0.000 0.000
Se8 0.500 0.000 0.500

Entry 4:
DFT (PBE) results for a relaxed ZrAgSe3 crystal.

ΔE_f (raw): 0.361 eV/atom
Polymorph energy (0 for the lowest one): 1069 meV/atom
Total energy: -4.0099 eV/atom
V: 24.6 A^3/atom

a b c (Å): 4.971 4.971 4.971
angles (deg): 90.00 90.00 90.00
Atoms (fractional coordinates):
Se1 0.000 0.500 0.000
Se2 0.000 0.000 0.500
Se3 0.500 0.000 0.000
Zr1 0.500 0.500 0.500
Ag1 0.000 0.000 0.000

Entry 5:
DFT (PBE) results for a relaxed ZrAg3Se crystal.

ΔE_f (raw): 1.291 eV/atom
Polymorph energy (0 for the lowest one): 560 meV/atom
Total energy: -2.8267 eV/atom
V: 29.8 A^3/atom

a b c (Å): 5.301 5.301 5.301
angles (deg): 90.00 90.00 90.00
Each line ends with the local moment (μB).
Atoms (fractional coordinates):
Se1 0.500 0.500 0.500  0.07
Zr1 0.000 0.000 0.000  0.54
Ag1 0.000 0.500 0.000  0.05
Ag2 0.000 0.000 0.500  0.02
Ag3 0.500 0.000 0.000  0.08

Entry 6:
DFT (PBE) results for a relaxed Zr2AgSe4 crystal.

ΔE_f (raw): -1.063 eV/atom
Polymorph energy (0 for the lowest one): 0 meV/atom
Total energy: -5.9036 eV/atom
V: 25.6 A^3/atom

a b c (Å): 7.978 7.973 13.823
angles (deg): 106.74 90.00 120.02
Atoms (fractional coordinates):
Zr1 0.500 0.000 0.000
Zr2 0.000 0.000 0.500
Zr3 0.000 0.500 0.000
Zr4 0.500 0.500 0.500
Zr5 0.250 0.000 0.250
Zr6 0.750 0.000 0.750
Zr7 0.500 0.000 0.500
Zr8 0.000 0.000 0.000
Ag1 0.937 0.375 0.312
Ag2 0.437 0.375 0.812
Ag3 0.563 0.625 0.188
Ag4 0.063 0.625 0.688
Se1 0.363 0.758 0.121
Se2 0.863 0.758 0.621
Se3 0.137 0.242 0.379
Se4 0.637 0.242 0.879
Se5 0.137 0.773 0.379
Se6 0.637 0.773 0.879
Se7 0.629 0.758 0.387
Se8 0.129 0.758 0.887
Se9 0.895 0.758 0.121
Se10 0.395 0.758 0.621
Se11 0.871 0.242 0.113
Se12 0.371 0.242 0.613
Se13 0.363 0.227 0.121
Se14 0.863 0.227 0.621
Se15 0.605 0.242 0.379
Se16 0.105 0.242 0.879

Entry 7:
DFT (PBE) results for a relaxed Zr3AgSe crystal.

ΔE_f (raw): 0.042 eV/atom
Polymorph energy (0 for the lowest one): 0 meV/atom
Total energy: -6.3536 eV/atom
V: 24.7 A^3/atom

a b c (Å): 4.979 4.979 4.979
angles (deg): 90.00 90.00 90.00
Atoms (fractional coordinates):
Se1 0.000 0.000 0.000
Zr1 0.000 0.500 0.000
Zr2 0.000 0.000 0.500
Zr3 0.500 0.000 0.000
Ag1 0.500 0.500 0.500

Entry 8:
DFT (PBE) results for a relaxed ZrAg3Se crystal.

ΔE_f (raw): 0.731 eV/atom
Polymorph energy (0 for the lowest one): 0 meV/atom
Total energy: -3.3867 eV/atom
V: 23.9 A^3/atom

a b c (Å): 4.928 4.928 4.928
angles (deg): 90.00 90.00 90.00
Each line ends with the local moment (μB).
Atoms (fractional coordinates):
Se1 0.000 0.000 0.000  -0.01
Zr1 0.500 0.500 0.500  0.24
Ag1 0.000 0.500 0.000  0.00
Ag2 0.000 0.000 0.500  0.00
Ag3 0.500 0.000 0.000  0.01

Entry 9:
DFT (PBE) results for a relaxed Zr2Ag4Se5 crystal.

ΔE_f (raw): -0.434 eV/atom
Total energy: -4.6085 eV/atom
V: 23.7 A^3/atom

a b c (Å): 4.047 4.047 18.531
angles (deg): 83.73 83.73 60.00
Atoms (fractional coordinates):
Zr1 0.142 0.142 0.575
Zr2 0.858 0.858 0.425
Ag1 0.684 0.684 0.949
Ag2 0.584 0.584 0.248
Ag3 0.416 0.416 0.752
Ag4 0.316 0.316 0.051
Se1 0.779 0.779 0.664
Se2 0.630 0.630 0.109
Se3 0.500 0.500 0.500
Se4 0.370 0.370 0.891
Se5 0.221 0.221 0.336

Entry 10:
DFT (PBE) results for a relaxed Zr2AgSe2 crystal.

ΔE_f (raw): -0.711 eV/atom
Polymorph energy (0 for the lowest one): 45 meV/atom
Total energy: -6.0948 eV/atom
V: 19.9 A^3/atom

a b c (Å): 7.678 7.678 3.377
angles (deg): 90.00 90.00 90.00
Atoms (fractional coordinates):
Se1 0.358 0.858 0.000
Se2 0.858 0.642 0.000
Se3 0.642 0.142 0.000
Se4 0.142 0.358 0.000
Zr1 0.151 0.651 0.500
Zr2 0.651 0.849 0.500
Zr3 0.849 0.349 0.500
Zr4 0.349 0.151 0.500
Ag1 0.000 0.000 0.000
Ag2 0.500 0.500 0.000

Entry 11:
DFT (PBE) results for a relaxed ZrAg4Se4 crystal.

ΔE_f (raw): -0.486 eV/atom
Total energy: -4.2520 eV/atom
V: 26.8 A^3/atom

a b c (Å): 6.289 6.289 7.547
angles (deg): 114.62 114.62 90.00
Atoms (fractional coordinates):
Zr1 0.000 0.000 0.000
Ag1 0.500 0.000 0.000
Ag2 0.000 0.500 0.000
Ag3 0.257 0.257 0.515
Ag4 0.743 0.743 0.485
Se1 0.638 0.638 0.754
Se2 0.362 0.885 0.246
Se3 0.115 0.115 0.754
Se4 0.885 0.362 0.246

Entry 12:
DFT (PBE) results for a relaxed ZrAgSe3 crystal.

ΔE_f (raw): -0.708 eV/atom
Polymorph energy (0 for the lowest one): 0 meV/atom
Total energy: -5.0788 eV/atom
V: 26.6 A^3/atom

a b c (Å): 3.860 7.357 11.883
angles (deg): 127.90 90.00 90.00
Atoms (fractional coordinates):
Zr1 0.250 0.090 0.165
Zr2 0.750 0.910 0.835
Ag1 0.250 0.210 0.603
Ag2 0.750 0.790 0.397
Se1 0.250 0.231 0.002
Se2 0.750 0.769 0.998
Se3 0.250 0.920 0.313
Se4 0.750 0.080 0.687
Se5 0.250 0.616 0.664
Se6 0.750 0.384 0.336